1.
VASP calculation (PBE) on BaAgOs4 after structural relaxation.

Summary:
* symmetry: F-43m (216)

Lattice parameters (Å, degrees): 5.437 5.437 5.437 60.00 60.00 60.00
Fractional coordinates of all 6 atoms:
Ba 0.000 0.000 0.000
Ag 0.250 0.250 0.250
Os 0.127 0.624 0.624
Os 0.624 0.127 0.624
Os 0.624 0.624 0.127
Os 0.624 0.624 0.624



2.
VASP calculation (PBE) on Ba2AgOs after structural relaxation.

Summary:
* ΔE to the lowest computed polymorph: 0.3498 eV per atom
* symmetry: F-43m (216)

Lattice parameters (Å, degrees): 5.352 5.352 5.352 60.00 60.00 60.00
Fractional coordinates of all 4 atoms:
Ba 0.000 0.000 0.000
Ba 0.250 0.250 0.250
Ag 0.500 0.500 0.500
Os 0.750 0.750 0.750



3.
VASP calculation (PBE) on BaAg2Os after structural relaxation.

Summary:
* ΔE to the lowest computed polymorph: 0.0052 eV per atom
* symmetry: C2/m (12)

Lattice parameters (Å, degrees): 6.124 6.124 5.537 109.99 109.99 29.35
Fractional coordinates of all 4 atoms:
Ba 0.000 0.000 0.000
Ag 0.207 0.207 0.671
Ag 0.793 0.793 0.329
Os 0.500 0.500 0.500



4.
VASP calculation (PBE) on BaAg2Os after structural relaxation.

Summary:
* ΔE to the lowest computed polymorph: 0.0200 eV per atom
* symmetry: P4mm (99)

Lattice parameters (Å, degrees): 3.395 3.395 7.902 90.00 90.00 90.00
Fractional coordinates of all 4 atoms:
Ba 0.000 0.000 0.000
Ag 0.000 0.000 0.468
Ag 0.500 0.500 0.662
Os 0.500 0.500 0.286



5.
VASP calculation (PBE) on BaAg2Os after structural relaxation.

Summary:
* ΔE to the lowest computed polymorph: 0.1277 eV per atom
* symmetry: P4/mmm (123)

Lattice parameters (Å, degrees): 4.470 4.470 4.461 90.00 90.00 90.00
Fractional coordinates of all 4 atoms:
Ba 0.000 0.000 0.000
Ag 0.000 0.500 0.500
Ag 0.500 0.000 0.500
Os 0.500 0.500 0.000



6.
VASP calculation (PBE) on BaAg2Os after structural relaxation.

Summary:
* ΔE to the lowest computed polymorph: 0.0238 eV per atom
* symmetry: Cm (8)

Lattice parameters (Å, degrees): 4.962 4.962 6.605 96.90 96.90 35.36
Fractional coordinates of all 4 atoms:
Ba 0.000 0.000 0.000
Ag 0.233 0.233 0.658
Ag 0.494 0.494 0.465
Os 0.755 0.755 0.309



7.
VASP calculation (PBE) on Ba2AgOs after structural relaxation.

Summary:
* ΔE to the lowest computed polymorph: 0.0975 eV per atom
* symmetry: P4/mmm (123)

Lattice parameters (Å, degrees): 3.757 3.757 8.632 90.00 90.00 90.00
Fractional coordinates of all 4 atoms:
Ba 0.000 0.000 0.221
Ba 0.000 0.000 0.779
Ag 0.500 0.500 0.500
Os 0.500 0.500 0.000



8.
VASP calculation (PBE) on BaAgOs after structural relaxation.

Summary:
* ΔE to the lowest computed polymorph: 0.0309 eV per atom
* symmetry: I4mm (107)

Lattice parameters (Å, degrees): 6.158 6.158 6.158 145.49 145.49 49.60
Fractional coordinates of all 3 atoms:
Ba 0.000 0.000 0.000
Ag 0.283 0.283 0.000
Os 0.710 0.710 0.000



9.
VASP calculation (PBE) on BaAg2Os after structural relaxation.

Summary:
* ΔE to the lowest computed polymorph: 0.2493 eV per atom
* symmetry: R-3m (166)

Lattice parameters (Å, degrees): 10.745 10.745 10.745 16.17 16.17 16.17
Fractional coordinates of all 4 atoms:
Ba 0.000 0.000 0.000
Ag 0.237 0.237 0.237
Ag 0.763 0.763 0.763
Os 0.500 0.500 0.500



10.
VASP calculation (PBE) on Ba2AgOs after structural relaxation.

Summary:
* ΔE to the lowest computed polymorph: 0.0000 eV per atom
* symmetry: R3m (160)

Lattice parameters (Å, degrees): 8.789 8.789 8.789 30.39 30.39 30.39
Fractional coordinates of all 4 atoms:
Ba 0.000 0.000 0.000
Ba 0.165 0.165 0.165
Ag 0.749 0.749 0.749
Os 0.416 0.416 0.416



11.
VASP calculation (PBE) on BaAg4Os after structural relaxation.

Summary:
* symmetry: F-43m (216)

Lattice parameters (Å, degrees): 5.639 5.639 5.639 60.00 60.00 60.00
Fractional coordinates of all 6 atoms:
Ba 0.000 0.000 0.000
Ag 0.376 0.376 0.376
Ag 0.376 0.376 0.871
Ag 0.376 0.871 0.376
Ag 0.871 0.376 0.376
Os 0.750 0.750 0.750



12.
VASP calculation (PBE) on BaAgOs3 after structural relaxation.

Summary:
* ΔE to the lowest computed polymorph: 0.0000 eV per atom
* symmetry: Pm-3m (221)

Lattice parameters (Å, degrees): 4.987 4.987 4.987 90.00 90.00 90.00
Fractional coordinates of all 5 atoms:
Ba 0.000 0.000 0.000
Ag 0.500 0.500 0.500
Os 0.000 0.500 0.500
Os 0.500 0.000 0.500
Os 0.500 0.500 0.000



We obtain uncorrected energy values of -43.9; -14.9; -15.9; -15.9; -15.4; -15.9; -15.9; -13.4; -15.0; -16.3; -21.2; -26.4 eV for the cell shown for the records listed above, in that order.